This record from the Alexandria database describes a relaxed structure of Cs2ScZnF6. The functional is PBE.

Cell: 6.432 6.432 6.432 Å, 119.88 119.88 90.21°
Fractional coordinates of all 10 atoms:
1 Cs 0.250 0.750 0.500
2 Cs 0.750 0.250 0.500
3 Sc 0.000 0.000 0.000
4 Zn 0.500 0.500 0.000
5 F 0.225 0.225 0.450
6 F 0.225 0.775 0.000
7 F 0.226 0.226 0.000
8 F 0.774 0.774 0.000
9 F 0.775 0.225 0.000
10 F 0.775 0.775 0.550

Summary:
- SG = I4/mmm
- total DFT energy (no corrections) (eV per atom) = -4.977
- magnetic moment (Bohr magnetons per cell) = 1.00
- calculated density (g/cm³) = 4.3
- formation energy from raw total energies (kJ per mole of atoms) = -282.0


This record from the Alexandria database describes a relaxed structure of CsSeF2. The functional is PBE.

Cell: 7.448 7.448 7.448 Å, 34.67 34.67 34.67°
Fractional coordinates of all 4 atoms:
1 Cs 0.000 0.000 0.000
2 Se 0.500 0.500 0.500
3 F 0.404 0.404 0.404
4 F 0.596 0.596 0.596

Summary:
- SG = R-3m
- total DFT energy (no corrections) (eV per atom) = -3.681
- magnetic moment (Bohr magnetons per cell) = 1.00
- calculated density (g/cm³) = 3.5
- formation energy from raw total energies (kJ per mole of atoms) = -160.2